No. 1
{
  "formula": "Zn3Ga8Ag2",
  "functional": "PBE",
  "state": "relaxed",
  "lattice_angstrom": [[7.390, -4.202, 0.000], [7.390, 4.202, 0.000], [-0.115, 0.000, 3.978]],
  "species": ["Zn", "Zn", "Zn", "Ga", "Ga", "Ga", "Ga", "Ga", "Ga", "Ga", "Ga", "Ag", "Ag"],
  "frac_coords": [[0.000, 0.000, 0.000], [0.228, 0.772, 0.500], [0.772, 0.228, 0.500], [0.104, 0.632, 0.993], [0.142, 0.142, 0.505], [0.368, 0.896, 0.007], [0.401, 0.401, 0.516], [0.599, 0.599, 0.484], [0.632, 0.104, 0.993], [0.858, 0.858, 0.495], [0.896, 0.368, 0.007], [0.270, 0.270, 0.011], [0.730, 0.730, 0.989]],
  "dos_ef_per_ev_cell": 4.1,
  "formation_enthalpy_0k_ev_per_atom": 0.045,
  "dft_energy_ev_per_atom": -2.5507,
  "spacegroup": "C2/m, No. 12"
}


No. 2
{
  "formula": "Zn3Ga3Ag5",
  "functional": "PBE",
  "state": "relaxed",
  "lattice_angstrom": [[9.082, 0.000, 0.000], [-4.541, 7.865, 0.000], [0.000, 0.000, 2.809]],
  "species": ["Zn", "Zn", "Zn", "Ga", "Ga", "Ga", "Ag", "Ag", "Ag", "Ag", "Ag"],
  "frac_coords": [[0.000, 0.837, 0.000], [0.163, 0.163, 0.000], [0.837, 0.000, 0.000], [0.000, 0.592, 0.500], [0.408, 0.408, 0.500], [0.592, 0.000, 0.500], [0.000, 0.339, 0.000], [0.333, 0.667, 0.000], [0.339, 0.000, 0.000], [0.661, 0.661, 0.000], [0.667, 0.333, 0.000]],
  "dos_ef_per_ev_cell": 3.8,
  "formation_enthalpy_0k_ev_per_atom": 0.107,
  "dft_energy_ev_per_atom": -2.3616,
  "spacegroup": "P-62m, No. 189"
}